A geometry-optimized Ca2Zn2GePd5 structure, computed with PBE.

Values from the calculation:
Symmetry: P4/mbm (127)
Formation energy: -0.62 eV/atom
Raw total energy: -86.758 eV/cell

Unit cell a=3.634 b=9.858 c=9.858 alpha=90.00 beta=90.00 gamma=90.00
Sites, in units of the cell vectors:
Ca  0.000  0.674  0.174
Ca  0.000  0.326  0.826
Ca  0.000  0.174  0.326
Ca  0.000  0.826  0.674
Zn  0.000  0.125  0.625
Zn  0.000  0.875  0.375
Zn  0.000  0.625  0.875
Zn  0.000  0.375  0.125
Ge  0.000  0.000  0.000
Ge  0.000  0.500  0.500
Pd  0.500  0.198  0.065
Pd  0.500  0.802  0.935
Pd  0.500  0.065  0.802
Pd  0.500  0.698  0.435
Pd  0.500  0.935  0.198
Pd  0.500  0.302  0.565
Pd  0.500  0.565  0.698
Pd  0.500  0.435  0.302
Pd  0.500  0.500  0.000
Pd  0.500  0.000  0.500



A geometry-optimized SmHoSc3 structure, computed with PBE.

Values from the calculation:
Symmetry: P2_1/c (14)
Formation energy: 0.03 eV/atom
Raw total energy: -112.545 eV/cell

Unit cell a=5.974 b=8.748 c=11.270 alpha=110.19 beta=90.00 gamma=90.00
Sites, in units of the cell vectors:
Sm  0.167  0.947  0.603
Sm  0.667  0.553  0.897
Sm  0.833  0.053  0.397
Sm  0.333  0.447  0.103
Ho  0.662  0.742  0.500
Ho  0.338  0.258  0.500
Ho  0.838  0.242  0.000
Ho  0.162  0.758  0.000
Sc  0.839  0.453  0.601
Sc  0.661  0.953  0.101
Sc  0.325  0.649  0.700
Sc  0.825  0.851  0.800
Sc  0.675  0.351  0.300
Sc  0.161  0.547  0.399
Sc  0.166  0.348  0.797
Sc  0.834  0.652  0.203
Sc  0.339  0.047  0.899
Sc  0.175  0.149  0.200
Sc  0.334  0.848  0.297
Sc  0.666  0.152  0.703



A geometry-optimized La2Hg2Br structure, computed with PBE.

Values from the calculation:
E_form (uncorrected): -0.58 eV/atom
Symmetry: P4/mbm (127)
Raw total energy: -30.081 eV/cell

Unit cell a=9.024 b=9.024 c=3.791 alpha=90.00 beta=90.00 gamma=90.00
Sites, in units of the cell vectors:
Hg  0.383  0.883  0.000
Hg  0.883  0.617  0.000
Hg  0.617  0.117  0.000
Hg  0.117  0.383  0.000
Br  0.000  0.000  0.000
Br  0.500  0.500  0.000
La  0.181  0.681  0.500
La  0.681  0.819  0.500
La  0.819  0.319  0.500
La  0.319  0.181  0.500